[1]
# CoP2CCl

A geometry-optimized CoP2CCl structure (PBE, Alexandria via LeMat-Bulk).

Geometry as CIF:
```
data_CoP2CCl
_cell_length_a 3.930
_cell_length_b 3.930
_cell_length_c 4.498
_cell_angle_alpha 90.00
_cell_angle_beta 90.00
_cell_angle_gamma 90.00
_space_group_name_H-M_alt 'P 1'
_space_group_IT_number 1
loop_
_space_group_symop_operation_xyz
'x,y,z'
loop_
_atom_site_label
_atom_site_type_symbol
_atom_site_fract_x
_atom_site_fract_y
_atom_site_fract_z
Co1 Co 0.000 0.000 0.000
P1 P 0.000 0.500 0.500
P2 P 0.500 0.000 0.500
C1 C 0.500 0.500 0.500
Cl1 Cl 0.500 0.500 0.000
```

## Properties
Symmetry   P4/mmm, No. 123
Uncorrected formation energy   1.386 eV per atom
Total magnetization   1.44 Bohr magnetons per cell
DFT total energy   -4.41 eV/atom
Relative energy among the computed polymorphs   0 meV per atom

---

[2]
# CoPdCCl2

A geometry-optimized CoPdCCl2 structure (PBE, Alexandria via LeMat-Bulk).

Geometry as CIF:
```
data_CoPdCCl2
_cell_length_a 5.157
_cell_length_b 5.157
_cell_length_c 3.773
_cell_angle_alpha 90.00
_cell_angle_beta 90.00
_cell_angle_gamma 90.00
_space_group_name_H-M_alt 'P 1'
_space_group_IT_number 1
loop_
_space_group_symop_operation_xyz
'x,y,z'
loop_
_atom_site_label
_atom_site_type_symbol
_atom_site_fract_x
_atom_site_fract_y
_atom_site_fract_z
Co1 Co 0.000 0.000 0.000
Pd1 Pd 0.500 0.500 0.500
C1 C 0.500 0.500 0.000
Cl1 Cl 0.000 0.500 0.500
Cl2 Cl 0.500 0.000 0.500
```

## Properties
Symmetry   P4/mmm, No. 123
Uncorrected formation energy   1.184 eV per atom
Total magnetization   1.93 Bohr magnetons per cell
DFT total energy   -3.86 eV/atom